[1]
Entry from Alexandria: NaTmMnBr6 after structural relaxation (PBE).

Lattice parameters (Å, degrees): 6.757 6.757 13.454 90.00 90.00 120.00
Element x y z (fractional)
Na (0.000, 0.000, 0.000)
Na (0.000, 0.000, 0.500)
Tm (0.333, 0.667, 0.250)
Tm (0.667, 0.333, 0.750)
Mn (0.333, 0.667, 0.750)
Mn (0.667, 0.333, 0.250)
Br (0.027, 0.373, 0.637)
Br (0.027, 0.655, 0.863)
Br (0.345, 0.373, 0.863)
Br (0.345, 0.973, 0.637)
Br (0.373, 0.027, 0.137)
Br (0.373, 0.345, 0.363)
Br (0.627, 0.655, 0.637)
Br (0.627, 0.973, 0.863)
Br (0.655, 0.027, 0.363)
Br (0.655, 0.627, 0.137)
Br (0.973, 0.345, 0.137)
Br (0.973, 0.627, 0.363)

Properties
Uncorrected energy = -3.94 eV per atom


[2]
Entry from Alexandria: NaYMnBr6 after structural relaxation (PBE).

Lattice parameters (Å, degrees): 7.047 7.047 13.424 90.00 90.00 120.00
Element x y z (fractional)
Na (0.000, 0.000, 0.000)
Na (0.000, 0.000, 0.500)
Y (0.333, 0.667, 0.250)
Y (0.667, 0.333, 0.750)
Mn (0.333, 0.667, 0.750)
Mn (0.667, 0.333, 0.250)
Br (0.012, 0.363, 0.633)
Br (0.012, 0.649, 0.867)
Br (0.351, 0.363, 0.867)
Br (0.351, 0.988, 0.633)
Br (0.363, 0.012, 0.133)
Br (0.363, 0.351, 0.367)
Br (0.637, 0.649, 0.633)
Br (0.637, 0.988, 0.867)
Br (0.649, 0.012, 0.367)
Br (0.649, 0.637, 0.133)
Br (0.988, 0.351, 0.133)
Br (0.988, 0.637, 0.367)

Properties
Uncorrected energy = -4.43 eV per atom


[3]
Entry from Alexandria: Na2MnZnBr6 after structural relaxation (PBE).

Lattice parameters (Å, degrees): 7.430 7.430 7.430 57.46 57.46 57.46
Element x y z (fractional)
Na (0.000, 0.000, 0.000)
Na (0.498, 0.498, 0.498)
Mn (0.708, 0.708, 0.708)
Zn (0.211, 0.211, 0.211)
Br (0.063, 0.839, 0.438)
Br (0.336, 0.561, 0.940)
Br (0.438, 0.063, 0.839)
Br (0.561, 0.940, 0.336)
Br (0.839, 0.438, 0.063)
Br (0.940, 0.336, 0.561)

Properties
Uncorrected energy = -3.36 eV per atom


[4]
Entry from Alexandria: Mn2NbBr after structural relaxation (PBE).

Lattice parameters (Å, degrees): 6.149 6.149 6.149 90.00 90.00 90.00
Element x y z (fractional)
Mn (0.250, 0.250, 0.250)
Mn (0.250, 0.250, 0.750)
Mn (0.250, 0.750, 0.250)
Mn (0.250, 0.750, 0.750)
Mn (0.750, 0.250, 0.250)
Mn (0.750, 0.250, 0.750)
Mn (0.750, 0.750, 0.250)
Mn (0.750, 0.750, 0.750)
Nb (0.000, 0.000, 0.000)
Nb (0.000, 0.500, 0.500)
Nb (0.500, 0.000, 0.500)
Nb (0.500, 0.500, 0.000)
Br (0.000, 0.000, 0.500)
Br (0.000, 0.500, 0.000)
Br (0.500, 0.000, 0.000)
Br (0.500, 0.500, 0.500)

Properties
Offset from the most stable computed form = 0.2683 eV per atom


Results for ρ: 4534, 3717, 3926, 8077 (in kg/m³, following the order of the records).